Entry from the Alexandria database: an optimized crystal structure of NbSbHPd2 (GGA-PBE).

a = 4.0668 Å, b = 4.0668 Å, c = 4.3790 Å
α = 90.00°, β = 90.00°, γ = 90.00°
Positions (direct):
Nb: 0.0000 0.0000 0.0000
Sb: 0.5000 0.5000 0.0000
H: 0.0000 0.0000 0.5000
Pd: 0.0000 0.5000 0.5000
Pd: 0.5000 0.0000 0.5000

energy: -29.1 eV per cell
space group: P4/mmm (123)


Entry from the Alexandria database: an optimized crystal structure of Sc2NbHPd (GGA-PBE).

a = 4.5729 Å, b = 4.5729 Å, c = 3.7611 Å
α = 90.00°, β = 90.00°, γ = 90.00°
Positions (direct):
Sc: 0.0000 0.5000 0.0000
Sc: 0.5000 0.0000 0.0000
Nb: 0.0000 0.0000 0.5000
H: 0.0000 0.0000 0.0000
Pd: 0.5000 0.5000 0.5000

energy: -33.0 eV per cell
space group: P4/mmm (123)


Entry from the Alexandria database: an optimized crystal structure of NbSiHPd2 (GGA-PBE).

a = 3.8219 Å, b = 3.8219 Å, c = 4.4332 Å
α = 90.00°, β = 90.00°, γ = 90.00°
Positions (direct):
Nb: 0.0000 0.0000 0.0000
Si: 0.5000 0.5000 0.0000
H: 0.0000 0.0000 0.5000
Pd: 0.0000 0.5000 0.5000
Pd: 0.5000 0.0000 0.5000

energy: -30.7 eV per cell
space group: P4/mmm (123)